# TlPtSe PBE relaxed
# E_form (uncorrected) = -0.267 eV per atom
# Symmetry = No. 15
data_TlPtSe
_chemical_formula_sum 'Tl2 Pt2 Se2'
_cell_length_a 5.651
_cell_length_b 5.904
_cell_length_c 5.904
_cell_angle_alpha 60.44
_cell_angle_beta 61.22
_cell_angle_gamma 61.22
_space_group_name_H-M_alt 'P 1'
_space_group_IT_number 1
loop_
_space_group_symop_operation_xyz
'x,y,z'
loop_
_atom_site_label
_atom_site_fract_x
_atom_site_fract_y
_atom_site_fract_z
_atom_site_occupancy
Pt1 0.461 0.268 0.955 1
Pt2 0.961 0.268 0.955 1
Se1 0.211 0.930 0.293 1
Tl1 0.961 0.768 0.955 1
Se2 0.711 0.606 0.617 1
Tl2 0.461 0.268 0.455 1


# Ti6FeBi PBE relaxed
# DFT formation energy = 12 kJ per mole of atoms
# Symmetry = No. 166
data_Ti6FeBi
_chemical_formula_sum 'Ti6 Fe1 Bi1'
_cell_length_a 5.567
_cell_length_b 5.567
_cell_length_c 5.566
_cell_angle_alpha 106.50
_cell_angle_beta 106.50
_cell_angle_gamma 106.49
_space_group_name_H-M_alt 'P 1'
_space_group_IT_number 1
loop_
_space_group_symop_operation_xyz
'x,y,z'
loop_
_atom_site_label
_atom_site_fract_x
_atom_site_fract_y
_atom_site_fract_z
_atom_site_occupancy
Fe1 0.500 0.500 0.500 1
Bi1 0.000 0.000 0.000 1
Ti1 0.771 0.342 0.771 1
Ti2 0.771 0.771 0.342 1
Ti3 0.342 0.771 0.771 1
Ti4 0.658 0.229 0.229 1
Ti5 0.229 0.658 0.229 1
Ti6 0.229 0.229 0.658 1


# MgNi2Sb PBE relaxed
# E_form (uncorrected) = -0.146 eV per atom
# Symmetry = No. 44
data_MgNi2Sb
_chemical_formula_sum 'Mg1 Ni2 Sb1'
_cell_length_a 4.947
_cell_length_b 4.947
_cell_length_c 4.947
_cell_angle_alpha 134.58
_cell_angle_beta 134.80
_cell_angle_gamma 66.01
_space_group_name_H-M_alt 'P 1'
_space_group_IT_number 1
loop_
_space_group_symop_operation_xyz
'x,y,z'
loop_
_atom_site_label
_atom_site_fract_x
_atom_site_fract_y
_atom_site_fract_z
_atom_site_occupancy
Sb1 0.499 0.499 0.000 1
Ni1 0.750 0.250 0.500 1
Ni2 0.000 0.000 0.000 1
Mg1 0.250 0.750 0.500 1


# Y8Ho3Pu2 PBE relaxed
# DFT formation energy = 28 kJ per mole of atoms
# Symmetry = No. 65
data_Y8Ho3Pu2
_chemical_formula_sum 'Y8 Ho3 Pu2'
_cell_length_a 5.679
_cell_length_b 7.404
_cell_length_c 10.773
_cell_angle_alpha 110.10
_cell_angle_beta 90.03
_cell_angle_gamma 90.00
_space_group_name_H-M_alt 'P 1'
_space_group_IT_number 1
loop_
_space_group_symop_operation_xyz
'x,y,z'
loop_
_atom_site_label
_atom_site_fract_x
_atom_site_fract_y
_atom_site_fract_z
_atom_site_occupancy
Y1 0.000 0.678 0.355 1
Pu1 0.500 0.243 0.485 1
Ho1 0.500 0.000 0.000 1
Pu2 0.500 0.757 0.515 1
Y2 0.000 0.141 0.282 1
Ho2 0.000 0.273 0.000 1
Y3 0.500 0.831 0.223 1
Y4 0.000 0.859 0.718 1
Y5 0.000 0.322 0.645 1
Y6 0.500 0.393 0.223 1
Ho3 0.000 0.727 0.000 1
Y7 0.500 0.169 0.777 1
Y8 0.500 0.607 0.777 1


These records have E_tot values of -4.231, -7.337, -4.466, -6.945 eV per atom, in the order they appear.